No. 1
A plane-wave DFT calculation with PBE was carried out for a relaxed Rb2MgNF6 crystal.

```
10
Lattice="-2.7668 2.7668 5.0593 2.7668 -2.7668 5.0593 2.7668 2.7668 -5.0593" Properties=species:S:1:pos:R:3 pbc="T T T"
Rb 2.7668 0.0000 2.5296
Rb 0.0000 2.7668 2.5296
Mg 0.0000 0.0000 0.0000
N 0.0000 0.0000 5.0593
F 0.0000 0.0000 1.9144
F 1.4912 1.4912 0.0000
F 1.2756 -1.2756 5.0593
F -1.2756 1.2756 5.0593
F 1.2756 1.2756 5.0593
F 0.0000 0.0000 8.2042
```

- Density of states at the Fermi level: 0.00 states/eV/f.u.
- VASP energy: -4.257 eV/atom
- Formation energy from raw total energies: -1.95 eV per atom
- Calculated density: 3.5 g cm⁻³
- SG: I4/mmm

No. 2
A plane-wave DFT calculation with PBE was carried out for a relaxed RbMgNF2 crystal.

```
5
Lattice="4.8539 0.0000 0.0000 0.0000 4.8539 0.0000 0.0000 0.0000 4.5685" Properties=species:S:1:pos:R:3 pbc="T T T"
Rb 0.0000 0.0000 0.0000
Mg 2.4270 2.4270 2.2842
N 0.0000 0.0000 2.2842
F 0.0000 2.4270 0.0000
F 2.4270 0.0000 0.0000
```

- Density of states at the Fermi level: 2.71 states/eV/f.u.
- E above lowest polymorph: 1631 meV per atom
- VASP energy: -2.949 eV/atom
- Formation energy from raw total energies: -0.02 eV per atom
- Calculated density: 2.5 g cm⁻³
- SG: P4/mmm

No. 3
A plane-wave DFT calculation with PBE was carried out for a relaxed MgReN2F crystal.

```
5
Lattice="4.0351 0.0000 0.0000 0.0000 4.0351 0.0000 0.0000 0.0000 3.5054" Properties=species:S:1:pos:R:3 pbc="T T T"
Mg 0.0000 0.0000 0.0000
Re 2.0175 2.0175 1.7527
N 0.0000 2.0175 0.0000
N 2.0175 0.0000 0.0000
F 0.0000 0.0000 1.7527
```

- Density of states at the Fermi level: 2.06 states/eV/f.u.
- E above lowest polymorph: 1127 meV per atom
- VASP energy: -5.691 eV/atom
- Formation energy from raw total energies: 0.82 eV per atom
- Calculated density: 7.5 g cm⁻³
- SG: P4/mmm

No. 4
A plane-wave DFT calculation with PBE was carried out for a relaxed MgReNF2 crystal.

```
5
Lattice="4.2907 0.0000 0.0000 0.0000 4.2907 0.0000 0.0000 0.0000 3.8213" Properties=species:S:1:pos:R:3 pbc="T T T"
Mg 0.0000 0.0000 0.0000
Re 2.1454 2.1454 1.9106
N 2.1454 2.1454 0.0000
F 0.0000 2.1454 1.9106
F 2.1454 0.0000 1.9106
```

- Density of states at the Fermi level: 3.93 states/eV/f.u.
- E above lowest polymorph: 0 meV per atom
- VASP energy: -5.858 eV/atom
- Formation energy from raw total energies: -0.64 eV per atom
- Calculated density: 6.2 g cm⁻³
- SG: P4/mmm

No. 5
A plane-wave DFT calculation with PBE was carried out for a relaxed MgReNF2 crystal.

```
5
Lattice="3.5053 0.0000 0.0000 0.0000 3.5053 0.0000 0.0000 0.0000 5.2430" Properties=species:S:1:pos:R:3 pbc="T T T"
Mg 0.0000 0.0000 0.0000
Re 1.7527 1.7527 2.6215
N 0.0000 0.0000 2.6215
F 0.0000 1.7527 0.0000
F 1.7527 0.0000 0.0000
```

- Density of states at the Fermi level: 1.05 states/eV/f.u.
- E above lowest polymorph: 54 meV per atom
- VASP energy: -5.804 eV/atom
- Formation energy from raw total energies: -0.58 eV per atom
- Calculated density: 6.8 g cm⁻³
- SG: P4/mmm

No. 6
A plane-wave DFT calculation with PBE was carried out for a relaxed MgReN2F crystal.

```
5
Lattice="3.8964 0.0000 0.0000 0.0000 3.8964 0.0000 0.0000 0.0000 4.1638" Properties=species:S:1:pos:R:3 pbc="T T T"
Mg 0.0000 0.0000 0.0000
Re 1.9482 1.9482 2.0819
N 0.0000 1.9482 2.0819
N 1.9482 0.0000 2.0819
F 1.9482 1.9482 0.0000
```

- Density of states at the Fermi level: 0.98 states/eV/f.u.
- E above lowest polymorph: 0 meV per atom
- VASP energy: -6.818 eV/atom
- Formation energy from raw total energies: -0.31 eV per atom
- Calculated density: 6.8 g cm⁻³
- SG: P4/mmm

No. 7
A plane-wave DFT calculation with PBE was carried out for a relaxed MgRhN2F crystal.

```
5
Lattice="3.7900 0.0000 0.0000 0.0000 3.7900 0.0000 0.0000 0.0000 4.6699" Properties=species:S:1:pos:R:3 pbc="T T T"
Mg 0.0000 0.0000 0.0000
Rh 1.8950 1.8950 2.3349
N 0.0000 1.8950 2.3349
N 1.8950 0.0000 2.3349
F 1.8950 1.8950 0.0000
```

- Density of states at the Fermi level: 2.22 states/eV/f.u.
- E above lowest polymorph: 0 meV per atom
- VASP energy: -5.286 eV/atom
- Formation energy from raw total energies: 0.21 eV per atom
- Calculated density: 4.3 g cm⁻³
- SG: P4/mmm

No. 8
A plane-wave DFT calculation with PBE was carried out for a relaxed MgRhN2F crystal.

```
5
Lattice="4.0476 0.0000 0.0000 0.0000 4.0476 0.0000 0.0000 0.0000 3.5602" Properties=species:S:1:pos:R:3 pbc="T T T"
Mg 0.0000 0.0000 0.0000
Rh 2.0238 2.0238 1.7801
N 0.0000 2.0238 0.0000
N 2.0238 0.0000 0.0000
F 0.0000 0.0000 1.7801
```

- Density of states at the Fermi level: 6.63 states/eV/f.u.
- E above lowest polymorph: 555 meV per atom
- VASP energy: -4.731 eV/atom
- Formation energy from raw total energies: 0.76 eV per atom
- Calculated density: 5.0 g cm⁻³
- SG: P4/mmm

No. 9
A plane-wave DFT calculation with PBE was carried out for a relaxed MgRuNF2 crystal.

```
5
Lattice="4.2869 0.0000 0.0000 0.0000 4.2869 0.0000 0.0000 0.0000 3.7450" Properties=species:S:1:pos:R:3 pbc="T T T"
Mg 0.0000 0.0000 0.0000
Ru 2.1434 2.1434 1.8725
N 2.1434 2.1434 0.0000
F 0.0000 2.1434 1.8725
F 2.1434 0.0000 1.8725
```

- Density of states at the Fermi level: 1.85 states/eV/f.u.
- E above lowest polymorph: 0 meV per atom
- VASP energy: -5.302 eV/atom
- Formation energy from raw total energies: -0.71 eV per atom
- Calculated density: 4.3 g cm⁻³
- SG: P4/mmm

No. 10
A plane-wave DFT calculation with PBE was carried out for a relaxed MgRuNF2 crystal.

```
5
Lattice="3.5459 0.0000 0.0000 0.0000 3.5459 0.0000 0.0000 0.0000 5.0492" Properties=species:S:1:pos:R:3 pbc="T T T"
Mg 0.0000 0.0000 0.0000
Ru 1.7729 1.7729 2.5246
N 0.0000 0.0000 2.5246
F 0.0000 1.7729 0.0000
F 1.7729 0.0000 0.0000
```

- Density of states at the Fermi level: 3.71 states/eV/f.u.
- E above lowest polymorph: 17 meV per atom
- VASP energy: -5.284 eV/atom
- Formation energy from raw total energies: -0.70 eV per atom
- Calculated density: 4.6 g cm⁻³
- SG: P4/mmm

No. 11
A plane-wave DFT calculation with PBE was carried out for a relaxed MgSN2F crystal.

```
5
Lattice="3.4397 0.0000 0.0000 0.0000 3.4397 0.0000 0.0000 0.0000 4.9581" Properties=species:S:1:pos:R:3 pbc="T T T"
Mg 0.0000 0.0000 0.0000
S 1.7199 1.7199 2.4790
N 0.0000 1.7199 2.4790
N 1.7199 0.0000 2.4790
F 1.7199 1.7199 0.0000
```

- Density of states at the Fermi level: 2.02 states/eV/f.u.
- E above lowest polymorph: 0 meV per atom
- VASP energy: -4.453 eV/atom
- Formation energy from raw total energies: 0.40 eV per atom
- Calculated density: 2.9 g cm⁻³
- SG: P4/mmm

No. 12
A plane-wave DFT calculation with PBE was carried out for a relaxed MgSN2F crystal.

```
5
Lattice="3.9294 0.0000 0.0000 0.0000 3.9294 0.0000 0.0000 0.0000 4.0721" Properties=species:S:1:pos:R:3 pbc="T T T"
Mg 0.0000 0.0000 0.0000
S 1.9647 1.9647 0.0000
N 0.0000 1.9647 2.0361
N 1.9647 0.0000 2.0361
F 1.9647 1.9647 2.0361
```

- Density of states at the Fermi level: 2.63 states/eV/f.u.
- E above lowest polymorph: 1254 meV per atom
- VASP energy: -3.199 eV/atom
- Formation energy from raw total energies: 1.65 eV per atom
- Calculated density: 2.7 g cm⁻³
- SG: P4/mmm

No. 13
A plane-wave DFT calculation with PBE was carried out for a relaxed MgSN2F crystal.

```
5
Lattice="4.2633 0.0000 0.0000 0.0000 4.2633 0.0000 0.0000 0.0000 3.6552" Properties=species:S:1:pos:R:3 pbc="T T T"
Mg 0.0000 0.0000 0.0000
S 2.1316 2.1316 1.8276
N 0.0000 2.1316 0.0000
N 2.1316 0.0000 0.0000
F 0.0000 0.0000 1.8276
```

- Density of states at the Fermi level: 2.15 states/eV/f.u.
- E above lowest polymorph: 445 meV per atom
- VASP energy: -4.007 eV/atom
- Formation energy from raw total energies: 0.84 eV per atom
- Calculated density: 2.6 g cm⁻³
- SG: P4/mmm

No. 14
A plane-wave DFT calculation with PBE was carried out for a relaxed MgSN2F crystal.

```
5
Lattice="4.2063 0.0000 0.0000 0.0000 4.2063 0.0000 0.0000 0.0000 5.2889" Properties=species:S:1:pos:R:3 pbc="T T T"
Mg 0.0000 0.0000 0.0000
S 0.0000 0.0000 2.6445
N 0.0000 2.1032 0.0000
N 2.1032 0.0000 0.0000
F 2.1032 2.1032 2.6445
```

- Density of states at the Fermi level: 3.34 states/eV/f.u.
- E above lowest polymorph: 1065 meV per atom
- VASP energy: -3.388 eV/atom
- Formation energy from raw total energies: 1.46 eV per atom
- Calculated density: 1.8 g cm⁻³
- SG: P4/mmm

No. 15
A plane-wave DFT calculation with PBE was carried out for a relaxed MgSbNF2 crystal.

```
5
Lattice="3.6895 0.0000 0.0000 0.0000 3.6895 0.0000 0.0000 0.0000 4.8875" Properties=species:S:1:pos:R:3 pbc="T T T"
Mg 0.0000 0.0000 0.0000
Sb 1.8447 1.8447 2.4437
N 0.0000 0.0000 2.4437
F 0.0000 1.8447 0.0000
F 1.8447 0.0000 0.0000
```

- Density of states at the Fermi level: 0.73 states/eV/f.u.
- E above lowest polymorph: 0 meV per atom
- VASP energy: -4.887 eV/atom
- Formation energy from raw total energies: -1.33 eV per atom
- Calculated density: 4.9 g cm⁻³
- SG: P4/mmm

No. 16
A plane-wave DFT calculation with PBE was carried out for a relaxed MgSbNF2 crystal.

```
5
Lattice="4.4048 0.0000 0.0000 0.0000 4.4048 0.0000 0.0000 0.0000 4.3975" Properties=species:S:1:pos:R:3 pbc="T T T"
Mg 0.0000 0.0000 0.0000
Sb 2.2024 2.2024 2.1988
N 2.2024 2.2024 0.0000
F 0.0000 2.2024 2.1988
F 2.2024 0.0000 2.1988
```

- Density of states at the Fermi level: 1.14 states/eV/f.u.
- E above lowest polymorph: 635 meV per atom
- VASP energy: -4.252 eV/atom
- Formation energy from raw total energies: -0.70 eV per atom
- Calculated density: 3.9 g cm⁻³
- SG: P4/mmm

No. 17
A plane-wave DFT calculation with PBE was carried out for a relaxed MgSbNF2 crystal.

```
5
Lattice="4.1936 0.0000 0.0000 0.0000 4.1936 0.0000 0.0000 0.0000 4.4911" Properties=species:S:1:pos:R:3 pbc="T T T"
Mg 0.0000 0.0000 0.0000
Sb 2.0968 2.0968 0.0000
N 2.0968 2.0968 2.2456
F 0.0000 2.0968 2.2456
F 2.0968 0.0000 2.2456
```

- Density of states at the Fermi level: 2.83 states/eV/f.u.
- E above lowest polymorph: 1326 meV per atom
- VASP energy: -3.562 eV/atom
- Formation energy from raw total energies: 0.00 eV per atom
- Calculated density: 4.2 g cm⁻³
- SG: P4/mmm

No. 18
A plane-wave DFT calculation with PBE was carried out for a relaxed MgScNF2 crystal.

```
5
Lattice="3.9882 0.0000 0.0000 0.0000 3.9882 0.0000 0.0000 0.0000 4.3676" Properties=species:S:1:pos:R:3 pbc="T T T"
Mg 0.0000 0.0000 0.0000
Sc 1.9941 1.9941 2.1838
N 1.9941 1.9941 0.0000
F 0.0000 1.9941 2.1838
F 1.9941 0.0000 2.1838
```

- Density of states at the Fermi level: 1.07 states/eV/f.u.
- E above lowest polymorph: 55 meV per atom
- VASP energy: -6.030 eV/atom
- Formation energy from raw total energies: -2.03 eV per atom
- Calculated density: 2.9 g cm⁻³
- SG: P4/mmm

No. 19
A plane-wave DFT calculation with PBE was carried out for a relaxed MgScNF2 crystal.

```
5
Lattice="3.5905 0.0000 0.0000 0.0000 3.5905 0.0000 0.0000 0.0000 4.6270" Properties=species:S:1:pos:R:3 pbc="T T T"
Mg 0.0000 0.0000 0.0000
Sc 1.7952 1.7952 2.3135
N 0.0000 0.0000 2.3135
F 0.0000 1.7952 0.0000
F 1.7952 0.0000 0.0000
```

- E above lowest polymorph: 0 meV per atom
- VASP energy: -6.085 eV/atom
- Formation energy from raw total energies: -2.09 eV per atom
- Calculated density: 3.4 g cm⁻³
- SG: P4/mmm

No. 20
A plane-wave DFT calculation with PBE was carried out for a relaxed MgSe2NF crystal.

```
5
Lattice="5.0542 0.0000 0.0000 0.0000 5.0542 0.0000 0.0000 0.0000 4.0541" Properties=species:S:1:pos:R:3 pbc="T T T"
Mg 0.0000 0.0000 0.0000
Se 0.0000 2.5271 0.0000
Se 2.5271 0.0000 0.0000
N 0.0000 0.0000 2.0270
F 2.5271 2.5271 2.0270
```

- Density of states at the Fermi level: 3.09 states/eV/f.u.
- E above lowest polymorph: 0 meV per atom
- VASP energy: -3.037 eV/atom
- Formation energy from raw total energies: 0.71 eV per atom
- Calculated density: 3.5 g cm⁻³
- SG: P4/mmm